Record 1
Compound: Pm3Dy5Ho2
Source: the Alexandria database
Functional: PBE
Structure: optimized geometry

Cell: 9.5731 9.5731 9.4346 Å, 108.40 108.40 111.99°
Sites, in units of the cell vectors:
Pm: 0.0188 0.2674 0.0459
Pm: 0.2337 0.7663 0.7500
Pm: 0.2674 0.0188 0.5459
Pm: 0.7326 0.9812 0.4541
Pm: 0.7663 0.2337 0.2500
Pm: 0.9812 0.7326 0.9541
Dy: 0.0260 0.9740 0.7500
Dy: 0.1497 0.3767 0.7742
Dy: 0.2721 0.7279 0.2500
Dy: 0.3767 0.1497 0.2742
Dy: 0.4698 0.5302 0.2500
Dy: 0.5302 0.4698 0.7500
Dy: 0.6233 0.8503 0.7258
Dy: 0.7279 0.2721 0.7500
Dy: 0.8503 0.6233 0.2258
Dy: 0.9740 0.0260 0.2500
Ho: 0.2286 0.4642 0.4531
Ho: 0.4642 0.2286 0.9531
Ho: 0.5358 0.7714 0.0469
Ho: 0.7714 0.5358 0.5469

Properties
Energy above the most stable polymorph in this dataset in meV/atom: 0
N(E_F) in states/eV/f.u.: 18.118
Calculated density in g/cm³: 7.9
ΔH_f (0 K) in eV per formula unit: 1.95



Record 2
Compound: Rb2Si2Se5
Source: the Alexandria database
Functional: PBE
Structure: optimized geometry

Cell: 6.9975 6.9975 8.8345 Å, 99.40 99.40 42.98°
Sites, in units of the cell vectors:
Rb: 0.0895 0.0895 0.3207
Rb: 0.9105 0.9105 0.6793
Si: 0.3427 0.3427 0.1104
Si: 0.6573 0.6573 0.8896
Se: 0.1787 0.1787 0.9567
Se: 0.3766 0.3766 0.3642
Se: 0.5000 0.5000 0.0000
Se: 0.6234 0.6234 0.6358
Se: 0.8213 0.8213 0.0433

Properties
Energy above the most stable polymorph in this dataset in meV/atom: 259
N(E_F) in states/eV/f.u.: 1.684
Calculated density in g/cm³: 3.6
Formation energy without anion corrections in eV per atom: -0.59



Record 3
Compound: LaTi3Nb
Source: the Alexandria database
Functional: PBE
Structure: optimized geometry

Cell: 4.7462 4.7462 4.7462 Å, 90.00 90.00 90.00°
Sites, in units of the cell vectors:
La: 0.0000 0.0000 0.0000
Ti: 0.0000 0.0000 0.5000
Ti: 0.0000 0.5000 0.0000
Ti: 0.5000 0.0000 0.0000
Nb: 0.5000 0.5000 0.5000

Properties
Energy above the most stable polymorph in this dataset in meV/atom: 809
N(E_F) in states/eV/f.u.: 5.185
Calculated density in g/cm³: 5.8
ΔH_f (0 K) in eV per formula unit: 6.93